i | The following is a DFT calculation (GGA-PBE) of a geometry-optimized V3GeAu structure.

Summary:
Space-group type: Pm-3m
Crystal system: cubic

Cell and atoms, written as POSCAR:
```
V3GeAu
1.0
-3.7475 -0.4068 -2.4562
-2.3112 -1.0817 3.7055
-0.9255 4.3482 0.6920
Au Ge V
1 1 3
Direct
0.5000 0.5000 0.5000
0.0000 0.0000 0.0000
0.0000 0.0000 0.5000
0.0000 0.5000 0.0000
0.5000 0.0000 0.0000
```

***

ii | The following is a DFT calculation (GGA-PBE) of a geometry-optimized V3GeAu structure.

Summary:
Space-group type: Pm-3m
Crystal system: cubic

Cell and atoms, written as POSCAR:
```
V3GeAu
1.0
-3.0471 0.1146 3.7112
1.9249 -4.0566 1.7057
3.1751 2.5694 2.5275
V Au Ge
3 1 1
Direct
0.0000 0.5000 0.0000
0.0000 0.0000 0.5000
0.5000 0.0000 0.0000
0.0000 0.0000 0.0000
0.5000 0.5000 0.5000
```

***

Relative energies, in meV/atom, with the most stable structure set to zero: i 0; ii 532.

***

i | The following is a DFT calculation (GGA-PBE) of a geometry-optimized V2Ge2Au structure.

Summary:
Space-group type: P4/mbm
Crystal system: tetragonal

Cell and atoms, written as POSCAR:
```
V2Ge2Au
1.0
6.7705 0.0000 0.0000
0.0000 6.7705 0.0000
0.0000 0.0000 3.3576
Ge V Au
4 4 2
Direct
0.1343 0.3657 0.0000
0.8657 0.6343 0.0000
0.6343 0.1343 0.0000
0.3657 0.8657 0.0000
0.6623 0.8377 0.5000
0.3377 0.1623 0.5000
0.1623 0.6623 0.5000
0.8377 0.3377 0.5000
0.0000 0.0000 0.0000
0.5000 0.5000 0.0000
```

***

ii | The following is a DFT calculation (GGA-PBE) of a geometry-optimized V2Ge2Au structure.

Summary:
Space-group type: P4/mbm
Crystal system: tetragonal

Cell and atoms, written as POSCAR:
```
V2Ge2Au
1.0
7.0910 0.0000 0.0000
0.0000 7.0910 0.0000
0.0000 0.0000 3.1365
V Au Ge
4 2 4
Direct
0.8833 0.6167 0.0000
0.6167 0.1167 0.0000
0.1167 0.3833 0.0000
0.3833 0.8833 0.0000
0.5000 0.5000 0.0000
0.0000 0.0000 0.0000
0.1790 0.6790 0.5000
0.3210 0.1790 0.5000
0.6790 0.8210 0.5000
0.8210 0.3210 0.5000
```

***

Relative energies, in meV/atom, with the most stable structure set to zero: i 26; ii 0.

***

i | The following is a DFT calculation (GGA-PBE) of a geometry-optimized GeW3Au structure.

Summary:
Space-group type: Pm-3m
Crystal system: cubic

Cell and atoms, written as POSCAR:
```
GeW3Au
1.0
4.5894 0.0000 0.0000
0.0000 4.5894 0.0000
0.0000 0.0000 4.5894
W Au Ge
3 1 1
Direct
0.0000 0.0000 0.5000
0.5000 0.0000 0.0000
0.0000 0.5000 0.0000
0.5000 0.5000 0.5000
0.0000 0.0000 0.0000
```

***

ii | The following is a DFT calculation (GGA-PBE) of a geometry-optimized GeW3Au structure.

Summary:
Space-group type: Pm-3m
Crystal system: cubic

Cell and atoms, written as POSCAR:
```
GeW3Au
1.0
4.8689 0.0000 0.0000
0.0000 4.8689 0.0000
0.0000 0.0000 4.8689
Au W Ge
1 3 1
Direct
0.0000 0.0000 0.0000
0.5000 0.0000 0.0000
0.0000 0.5000 0.0000
0.0000 0.0000 0.5000
0.5000 0.5000 0.5000
```

***

Relative energies, in meV/atom, with the most stable structure set to zero: i 0; ii 963.